# MgIn2Pb

A crystal of MgIn2Pb relaxed with PBEsol (meta-GGA SCAN, Alexandria via LeMat-Bulk).

Cell and atoms, written as POSCAR:
```
MgIn2Pb
1.0
3.6254 0.0000 0.0000
0.0000 5.2268 0.0000
0.0000 0.0000 5.4155
Mg In Pb
1 2 1
Direct
0.0000 0.0000 0.0000 Mg
0.0000 0.5000 0.5000 In
0.5000 0.0000 0.5000 In
0.5000 0.5000 0.0000 Pb
```

Results
The calculation puts the size of the total moment at 0.00 μB/cell. As for the space-group type: No. 47. The formation energy is 0.00 eV per atom. As for the electronic total energy: -36.8842 eV/atom.